Here is a relaxed structure of SrAg3Au from Alexandria. Energies are from PBE.

Unit cell a=4.298 b=4.298 c=7.086 alpha=72.34 beta=72.34 gamma=90.00
Sites, in units of the cell vectors:
Sr 0.409 0.213 0.887
Ag 0.651 0.954 0.404
Ag 0.150 0.454 0.404
Ag 0.792 0.596 0.120
Au 0.005 0.808 0.696

Properties
- Space group: I4mm
- Formation energy from the elements: -6.114 kcal/mol of atoms
- Magnetization: 0.00 μB per formula unit
- DOS at the Fermi energy: 1.7 states/eV/f.u.

Here is a relaxed structure of Ac2Ga3Cu12Ni from Alexandria. Energies are from PBE.

Unit cell a=9.629 b=9.629 c=9.629 alpha=38.38 beta=38.38 gamma=38.38
Sites, in units of the cell vectors:
Ac 0.655 0.655 0.655
Ac 0.345 0.345 0.345
Ga 0.500 0.000 0.000
Ga 0.000 0.500 0.000
Ga 0.000 0.000 0.500
Cu 0.420 0.420 0.805
Cu 0.939 0.939 0.339
Cu 0.339 0.939 0.939
Cu 0.805 0.420 0.420
Cu 0.939 0.339 0.939
Cu 0.420 0.805 0.420
Cu 0.580 0.580 0.195
Cu 0.061 0.061 0.661
Cu 0.661 0.061 0.061
Cu 0.195 0.580 0.580
Cu 0.061 0.661 0.061
Cu 0.580 0.195 0.580
Ni 0.000 0.000 0.000

Properties
- Space group: R-3m
- Formation energy from the elements: 1.828 kcal/mol of atoms
- Magnetization: 0.00 μB per formula unit
- DOS at the Fermi energy: 8.8 states/eV/f.u.

Here is a relaxed structure of LuNbOs2 from Alexandria. Energies are from PBE.

Unit cell a=3.235 b=3.235 c=6.634 alpha=90.00 beta=90.00 gamma=90.00
Sites, in units of the cell vectors:
Nb 0.500 0.500 0.000
Lu 0.500 0.500 0.500
Os 0.000 0.000 0.769
Os 0.000 0.000 0.231

Properties
- Space group: P4/mmm
- Formation energy from the elements: -7.406 kcal/mol of atoms
- Magnetization: 0.00 μB per formula unit
- DOS at the Fermi energy: 0.9 states/eV/f.u.

Here is a relaxed structure of UMoRh from Alexandria. Energies are from PBE.

Unit cell a=2.739 b=4.536 c=8.454 alpha=90.00 beta=90.00 gamma=90.00
Last column: magnetic moment on the atom in μB.
Sites, in units of the cell vectors:
Mo 0.500 0.000 0.781  -0.03
Mo 0.000 0.500 0.219  -0.03
U 0.000 0.000 0.428  0.90
U 0.500 0.500 0.572  0.90
Rh 0.500 0.500 0.937  0.04
Rh 0.000 0.000 0.063  0.04

Properties
- Space group: Pmmn
- Formation energy from the elements: 5.467 kcal/mol of atoms
- Magnetization: 0.93 μB per formula unit
- DOS at the Fermi energy: 4.5 states/eV/f.u.

Here is a relaxed structure of MgCoMo2 from Alexandria. Energies are from PBE.

Unit cell a=4.353 b=2.685 c=5.249 alpha=74.10 beta=90.00 gamma=90.00
Sites, in units of the cell vectors:
Co 0.500 0.250 0.250
Mg 0.500 0.750 0.750
Mo 0.000 0.014 0.007
Mo 0.000 0.486 0.493

Properties
- Space group: P2/m
- Formation energy from the elements: 6.492 kcal/mol of atoms
- Magnetization: 0.00 μB per formula unit
- DOS at the Fermi energy: 3.1 states/eV/f.u.

Here is a relaxed structure of PmBPPt6 from Alexandria. Energies are from PBE.

Unit cell a=7.428 b=7.982 c=7.767 alpha=120.92 beta=118.57 gamma=90.00
Sites, in units of the cell vectors:
Pm 0.836 0.586 0.671
Pm 0.164 0.414 0.329
B 0.500 0.500 0.000
B 0.500 0.000 0.000
P 0.500 0.000 0.500
P 0.000 0.000 0.500
Pt 0.431 0.681 0.863
Pt 0.873 0.123 0.746
Pt 0.839 0.100 0.247
Pt 0.408 0.648 0.247
Pt 0.408 0.100 0.247
Pt 0.839 0.648 0.247
Pt 0.569 0.319 0.137
Pt 0.127 0.877 0.254
Pt 0.161 0.900 0.753
Pt 0.592 0.352 0.753
Pt 0.592 0.900 0.753
Pt 0.161 0.352 0.753

Properties
- Space group: Imma
- Formation energy from the elements: -12.386 kcal/mol of atoms
- Magnetization: 0.00 μB per formula unit
- DOS at the Fermi energy: 2.7 states/eV/f.u.